AgHgIr2: relaxed, GGA-PBEsol.

Summary:
Fermi-level density of states: 6.529 states/eV/f.u.
Raw total energy: -5.2676 eV/atom
Formation energy from the elements: 614 meV per atom

Cell: 5.5495 8.1853 2.8096 Å, 90.00 90.00 90.00°
Space group Cmmm (No. 65)
Inequivalent atoms, fractional coordinates:
1 Ag 0.0000 0.0000 0.0000 x2
2 Hg 0.0000 0.5000 0.0000 x2
3 Ir 0.2500 0.2500 0.5000 x4